# GGA+U Ba2LiMoO5, relaxed
data_Ba2LiMoO5
_symmetry_space_group_name_H-M 'C m c 21'
_symmetry_Int_Tables_number 36
_symmetry_space_group_name_Hall 'C 2c -2'
_cell_length_a 3.409
_cell_length_b 15.273
_cell_length_c 10.899
_cell_angle_alpha 90.00
_cell_angle_beta 90.00
_cell_angle_gamma 90.00
loop_
_atom_site_label
_atom_site_type_symbol
_atom_site_fract_x
_atom_site_fract_y
_atom_site_fract_z
Ba1 Ba 0.000 0.114 0.000
Ba2 Ba 0.000 0.122 0.605
Li1 Li 0.000 0.439 0.747
Mo1 Mo 0.000 0.208 0.312
O1 O 0.000 0.085 0.328
O2 O 0.000 0.286 0.932
O3 O 0.000 0.301 0.692
O4 O 0.000 0.333 0.304
O5 O 0.000 0.495 0.591
# Crystal system: orthorhombic


# GGA+U BaLiMo2O8, relaxed
data_BaLiMo2O8
_symmetry_space_group_name_H-M 'I -4 m 2'
_symmetry_Int_Tables_number 119
_symmetry_space_group_name_Hall 'I -4 -2'
_cell_length_a 7.894
_cell_length_b 7.894
_cell_length_c 7.174
_cell_angle_alpha 90.00
_cell_angle_beta 90.00
_cell_angle_gamma 90.00
loop_
_atom_site_label
_atom_site_type_symbol
_atom_site_fract_x
_atom_site_fract_y
_atom_site_fract_z
Ba1 Ba 0.000 0.000 0.000
Li1 Li 0.000 0.500 0.750
Mo1 Mo 0.000 0.000 0.500
Mo2 Mo 0.000 0.500 0.250
O1 O 0.000 0.184 0.650
O2 O 0.000 0.320 0.098
# Crystal system: tetragonal


# GGA+U BaLiMoO4, relaxed
data_BaLiMoO4
_symmetry_space_group_name_H-M 'F -4 3 m'
_symmetry_Int_Tables_number 216
_symmetry_space_group_name_Hall 'F -4 2 3'
_cell_length_a 8.408
_cell_length_b 8.408
_cell_length_c 8.408
_cell_angle_alpha 90.00
_cell_angle_beta 90.00
_cell_angle_gamma 90.00
loop_
_atom_site_label
_atom_site_type_symbol
_atom_site_fract_x
_atom_site_fract_y
_atom_site_fract_z
Ba1 Ba 0.000 0.000 0.000
Li1 Li 0.250 0.250 0.750
Mo1 Mo 0.000 0.000 0.500
O1 O 0.126 0.126 0.626
# Crystal system: cubic


# GGA+U Ba2Li2MoO6, relaxed
data_Ba2Li2MoO6
_symmetry_space_group_name_H-M 'P -3'
_symmetry_Int_Tables_number 147
_symmetry_space_group_name_Hall '-P 3'
_cell_length_a 5.7714
_cell_length_b 5.7714
_cell_length_c 7.2984
_cell_angle_alpha 90.00
_cell_angle_beta 90.00
_cell_angle_gamma 120.00
loop_
_atom_site_label
_atom_site_type_symbol
_atom_site_fract_x
_atom_site_fract_y
_atom_site_fract_z
Ba1 Ba 0.3333 0.6667 0.1565
Li1 Li 0.3333 0.6667 0.7567
Mo1 Mo 0.0000 0.0000 0.0000
O1 O 0.1580 0.3219 0.8475
# Crystal system: trigonal


no.,E (eV per atom)
1,-6.36
2,-6.56
3,-6.22
4,-6.15